Entry 1:
Computed, not measured: an optimized crystal structure of ZrFe2W at the GGA-PBE level of DFT.

Geometry as CIF:
```
data_ZrFe2W
_chemical_formula_sum 'Zr1 Fe2 W1'
_space_group_name_H-M_alt 'P 4/m m m'
_space_group_IT_number 123
_space_group_name_Hall '-P 4 2'
_cell_length_a 4.406
_cell_length_b 4.406
_cell_length_c 3.030
_cell_angle_alpha 90.00
_cell_angle_beta 90.00
_cell_angle_gamma 90.00
loop_
_atom_site_label
_atom_site_type_symbol
_atom_site_fract_x
_atom_site_fract_y
_atom_site_fract_z
Zr1 Zr 0.000 0.000 0.000
Fe1 Fe 0.000 0.500 0.500
W1 W 0.500 0.500 0.000
```

crystal system	tetragonal
formation energy from the elements	0.054	eV/atom
DOS at the Fermi energy	3.147	states/eV per cell

***

Entry 2:
Computed, not measured: an optimized crystal structure of Th2HN at the GGA-PBE level of DFT.

Geometry as CIF:
```
data_Th2HN
_chemical_formula_sum 'Th6 H3 N3'
_space_group_name_H-M_alt 'R 3 m'
_space_group_IT_number 160
_space_group_name_Hall 'R 3 -2"'
_cell_length_a 3.5961
_cell_length_b 3.5961
_cell_length_c 18.8628
_cell_angle_alpha 90.00
_cell_angle_beta 90.00
_cell_angle_gamma 120.00
loop_
_atom_site_label
_atom_site_type_symbol
_atom_site_fract_x
_atom_site_fract_y
_atom_site_fract_z
Th1 Th 0.0000 0.0000 0.0000
Th2 Th 0.0000 0.0000 0.1805
H1 H 0.0000 0.0000 0.4139
N1 N 0.0000 0.0000 0.5916
```

crystal system	trigonal
DFT total energy	-29.65	eV per formula unit
DOS at the Fermi energy	6.126	states/eV per cell

***

Entry 3:
Computed, not measured: an optimized crystal structure of KIn2Cu at the GGA-PBE level of DFT.

Geometry as CIF:
```
data_KIn2Cu
_chemical_formula_sum 'K3 In6 Cu3'
_space_group_name_H-M_alt 'R 3 m'
_space_group_IT_number 160
_space_group_name_Hall 'R 3 -2"'
_cell_length_a 4.6928
_cell_length_b 4.6928
_cell_length_c 19.1780
_cell_angle_alpha 90.00
_cell_angle_beta 90.00
_cell_angle_gamma 120.00
loop_
_atom_site_label
_atom_site_type_symbol
_atom_site_fract_x
_atom_site_fract_y
_atom_site_fract_z
K1 K 0.0000 0.0000 0.0000
In1 In 0.0000 0.0000 0.1988
In2 In 0.0000 0.0000 0.4669
Cu1 Cu 0.0000 0.0000 0.8206
```

crystal system	trigonal
formation energy from the elements	-0.003	eV/atom
DOS at the Fermi energy	5.753	states/eV per cell

***

Please write out number 2 again, unchanged.
Computed, not measured: an optimized crystal structure of Th2HN at the GGA-PBE level of DFT.

Geometry as CIF:
```
data_Th2HN
_chemical_formula_sum 'Th6 H3 N3'
_space_group_name_H-M_alt 'R 3 m'
_space_group_IT_number 160
_space_group_name_Hall 'R 3 -2"'
_cell_length_a 3.5961
_cell_length_b 3.5961
_cell_length_c 18.8628
_cell_angle_alpha 90.00
_cell_angle_beta 90.00
_cell_angle_gamma 120.00
loop_
_atom_site_label
_atom_site_type_symbol
_atom_site_fract_x
_atom_site_fract_y
_atom_site_fract_z
Th1 Th 0.0000 0.0000 0.0000
Th2 Th 0.0000 0.0000 0.1805
H1 H 0.0000 0.0000 0.4139
N1 N 0.0000 0.0000 0.5916
```

crystal system	trigonal
DFT total energy	-29.65	eV per formula unit
DOS at the Fermi energy	6.126	states/eV per cell